Model A:
Below is a relaxed structure of VFeW2, with properties calculated at the PBE level.

Calculated values
Total magnetic moment ... 0.37 μB per atom

Lattice parameters (Å, degrees): 6.0918 6.0918 6.0918 90.00 90.00 90.00
Last column: nearest neighbours and their distance in Å.
Space group Fm-3m (No. 225)
One atom of each set of equivalent atoms:
V 0.0000 0.0000 0.0000  8 W 2.64
Fe 0.0000 0.0000 0.5000  8 W 2.64
W 0.2500 0.2500 0.2500  4 Fe 2.64, 4 V 2.64

Model B:
Below is a relaxed structure of VFeW2, with properties calculated at the PBE level.

Calculated values
Total magnetic moment ... 0.41 μB per atom

Lattice parameters (Å, degrees): 4.3009 4.3009 3.0596 90.00 90.00 90.00
Last column: nearest neighbours and their distance in Å.
Space group P4/mmm (No. 123)
One atom of each set of equivalent atoms:
V 0.0000 0.0000 0.0000  8 W 2.64
Fe 0.5000 0.5000 0.0000  8 W 2.64
W 0.0000 0.5000 0.5000  4 Fe 2.64, 4 V 2.64

Computed energies relative to the best structure, in kJ/mol of atoms: model A 3.9; model B 0.0

Model A:
Below is a relaxed structure of V8FeW2, with properties calculated at the PBE level.

Calculated values
Total magnetic moment ... 0.00 μB per atom

Lattice parameters (Å, degrees): 9.9496 8.1418 4.6098 90.00 113.46 90.00
Last column: nearest neighbours and their distance in Å.
Space group C2/m (No. 12)
One atom of each set of equivalent atoms:
V 0.0687 0.0000 0.2844  5 V 2.43-2.70, 1 W 2.69
V 0.0920 0.2521 0.8602  1 Fe 2.41, 4 V 2.42-2.68, 1 W 2.62
V 0.2230 0.0000 0.8740  6 V 2.42-2.70, 1 W 2.45, 1 Fe 2.58
Fe 0.0000 0.5000 0.0000  2 W 2.36, 6 V 2.41-2.58
W 0.1395 0.5000 0.5506  1 Fe 2.36, 3 V 2.45-2.62, 1 W 2.63

Model B:
Below is a relaxed structure of V8FeW2, with properties calculated at the PBE level.

Calculated values
Total magnetic moment ... 0.00 μB per atom

Lattice parameters (Å, degrees): 11.9406 4.3162 6.9697 90.00 120.28 90.00
Last column: nearest neighbours and their distance in Å.
Space group C2/m (No. 12)
One atom of each set of equivalent atoms:
V 0.0450 0.0000 0.3638  2 Fe 2.52, 8 V 2.54-2.82, 1 W 2.54
V 0.0650 0.5000 0.8885  1 Fe 2.41, 5 V 2.55-2.69, 2 W 2.56
V 0.1822 0.5000 0.4324  1 Fe 2.45, 6 V 2.57-2.66
V 0.1990 0.0000 0.8006  4 V 2.54-2.65, 3 W 2.59-2.72
Fe 0.0000 0.5000 0.5000  8 V 2.41-2.52
W 0.1446 0.0000 0.1162  7 V 2.54-2.76

Computed energies relative to the best structure, in kJ/mol of atoms: model A 39.1; model B 0.0

Model A:
Below is a relaxed structure of YV2Fe2, with properties calculated at the PBE level.

Calculated values
Total magnetic moment ... 0.00 μB per atom

Lattice parameters (Å, degrees): 4.0188 4.0188 9.6462 90.00 90.00 90.00
Last column: nearest neighbours and their distance in Å.
Space group I4/mmm (No. 139)
One atom of each set of equivalent atoms:
Y 0.0000 0.0000 0.0000  8 Fe 3.07, 8 V 3.14
V 0.0000 0.5000 0.2500  4 Fe 2.37
Fe 0.0000 0.0000 0.3794  1 Fe 2.33, 4 V 2.37

Model B:
Below is a relaxed structure of YV2Fe2, with properties calculated at the PBE level.

Calculated values
Total magnetic moment ... 0.00 μB per atom

Lattice parameters (Å, degrees): 7.2922 7.2922 2.7347 90.00 90.00 90.00
Last column: nearest neighbours and their distance in Å.
Space group P4/mbm (No. 127)
One atom of each set of equivalent atoms:
Y 0.0000 0.0000 0.0000  2 Y 2.73, 4 V 2.81
V 0.1407 0.3593 0.0000  6 Fe 2.46-2.64, 2 V 2.73
Fe 0.1398 0.6398 0.5000  6 V 2.46-2.64, 2 Fe 2.73

Computed energies relative to the best structure, in kJ/mol of atoms: model A 0.0; model B 27.7